1.
# NdLuGa4Ir2 (GGA-PBE, optimized geometry)
# Crystal system = monoclinic
data_NdLuGa4Ir2
_cell_length_a 4.212
_cell_length_b 7.092
_cell_length_c 5.507
_cell_angle_alpha 90.00
_cell_angle_beta 112.27
_cell_angle_gamma 90.00
_symmetry_space_group_name_H-M 'P 1'
_symmetry_Int_Tables_number 1
_symmetry_space_group_name_Hall 'P 1'
loop_
_atom_site_label
_atom_site_fract_x
_atom_site_fract_y
_atom_site_fract_z
Nd1 0.000 0.000 0.000
Lu1 0.144 0.500 0.288
Ga1 0.427 0.307 0.851
Ga2 0.427 0.693 0.851
Ga3 0.715 0.202 0.431
Ga4 0.715 0.798 0.431
Ir1 0.283 0.000 0.567
Ir2 0.862 0.500 0.719

2.
# LuGaNiIr (GGA-PBE, optimized geometry)
# Crystal system = cubic
data_LuGaNiIr
_cell_length_a 4.539
_cell_length_b 4.539
_cell_length_c 4.539
_cell_angle_alpha 60.00
_cell_angle_beta 60.00
_cell_angle_gamma 60.00
_symmetry_space_group_name_H-M 'P 1'
_symmetry_Int_Tables_number 1
_symmetry_space_group_name_Hall 'P 1'
loop_
_atom_site_label
_atom_site_fract_x
_atom_site_fract_y
_atom_site_fract_z
Lu1 0.000 0.000 0.000
Ga1 0.250 0.250 0.250
Ni1 0.500 0.500 0.500
Ir1 0.750 0.750 0.750

3.
# PrLuGa4Ir2 (GGA-PBE, optimized geometry)
# Crystal system = monoclinic
data_PrLuGa4Ir2
_cell_length_a 4.229
_cell_length_b 7.119
_cell_length_c 5.515
_cell_angle_alpha 90.00
_cell_angle_beta 112.33
_cell_angle_gamma 90.00
_symmetry_space_group_name_H-M 'P 1'
_symmetry_Int_Tables_number 1
_symmetry_space_group_name_Hall 'P 1'
loop_
_atom_site_label
_atom_site_fract_x
_atom_site_fract_y
_atom_site_fract_z
Pr1 0.000 0.000 0.000
Lu1 0.854 0.500 0.709
Ga1 0.286 0.201 0.571
Ga2 0.286 0.799 0.571
Ga3 0.571 0.308 0.144
Ga4 0.571 0.692 0.144
Ir1 0.137 0.500 0.277
Ir2 0.717 0.000 0.432

For the records above, the corresponding final energy values read -5.601, -5.734, -5.592 eV/atom.